Crystalline PmHfPt3 at its relaxed geometry. Source: Alexandria via LeMat-Bulk, functional PBE.

Unit cell a=3.6174 b=27.3520 c=4.1924 alpha=90.00 beta=90.00 gamma=90.00
With the nearest neighbours (Å) after each atom.
Space group Cmcm (No. 63)
One atom of each set of equivalent atoms:
Pm  0.0000  0.0756  0.2500 (multiplicity 4)  8 Pt 3.03-3.13
Hf  0.0000  0.2081  0.7500 (multiplicity 4)  7 Pt 2.67-2.82
Pt  0.0000  0.3056  0.7500 (multiplicity 4)  5 Hf 2.67-2.79, 2 Pt 2.76
Pt  0.0000  0.3711  0.2500 (multiplicity 4)  3 Pt 2.68-2.76, 2 Hf 2.82
Pt  0.0000  0.4691  0.2500 (multiplicity 4)  3 Pt 2.68-2.69

Calculated values
**V**: 414.8 Å³ per cell
**Formation enthalpy at 0 K**: -1.058 eV per atom
**Theoretical density**: 14.6 g/cm3
**Total DFT energy (no corrections)**: -0.2801 hartree per atom
**D(E_F)**: 11.11 states/eV per cell